No. 1
First-principles (PBE-GGA) data for crystalline MnBiRu3 at its relaxed geometry, as listed in Alexandria via LeMat-Bulk.

Computed properties:
ΔE_f	1.03	eV per atom
E above lowest polymorph	0	meV per atom
calculated density	10401	kg/m³

abc: 4.490 4.490 4.490
angles: 90.00 90.00 90.00
Fractional coordinates of all 5 atoms:
1 Ru 0.000 0.000 0.500
2 Ru 0.000 0.500 0.000
3 Ru 0.500 0.000 0.000
4 Bi 0.500 0.500 0.500
5 Mn 0.000 0.000 0.000

---

No. 2
First-principles (PBE-GGA) data for crystalline MnBi3Ru at its relaxed geometry, as listed in Alexandria via LeMat-Bulk.

Computed properties:
ΔE_f	0.77	eV per atom
E above lowest polymorph	0	meV per atom
calculated density	8762	kg/m³

abc: 5.294 5.294 5.294
angles: 90.00 90.00 90.00
Each line ends with the local moment (μB).
Fractional coordinates of all 5 atoms:
1 Mn 0.500 0.500 0.500  -4.31
2 Bi 0.500 0.000 0.000  0.08
3 Bi 0.000 0.500 0.000  0.12
4 Bi 0.000 0.000 0.500  0.07
5 Ru 0.000 0.000 0.000  0.13

---

No. 3
First-principles (PBE-GGA) data for crystalline MnTc2BiRu at its relaxed geometry, as listed in Alexandria via LeMat-Bulk.

Computed properties:
ΔE_f	1.07	eV per atom
calculated density	10241	kg/m³

abc: 4.489 4.513 4.489
angles: 90.00 90.00 90.00
Fractional coordinates of all 5 atoms:
1 Mn 0.000 0.000 0.000
2 Bi 0.500 0.500 0.500
3 Ru 0.000 0.500 0.000
4 Tc 0.000 0.000 0.500
5 Tc 0.500 0.000 0.000

---

no.,total energy (eV per atom)
1,-7.1420
2,-5.2475
3,-7.5455